# 1
VASP calculation (PBE) on TcNiS2 after structural relaxation.

Cell: 7.6558 7.6558 7.6558 Å, 23.35 23.35 23.35°
Atoms (fractional coordinates):
S: 0.9058 0.9058 0.9058
Ni: 0.0000 0.0000 0.0000
S: 0.0942 0.0942 0.0942
Tc: 0.5000 0.5000 0.5000

## Properties
- SG: No. 166
- Uncorrected formation energy: -3.359 kcal/mol of atoms

=====

# 2
VASP calculation (PBE) on TcNiS2 after structural relaxation.

Cell: 8.3728 3.1425 12.0157 Å, 90.00 129.51 90.00°
Atoms (fractional coordinates):
Ni: 0.8197 0.0000 0.2315
S: 0.0813 0.0000 0.8136
S: 0.5746 0.0000 0.6103
Tc: 0.0421 0.0000 0.1331
S: 0.3920 0.5000 0.7576
Ni: 0.8197 0.5000 0.7315
Ni: 0.6640 0.5000 0.9771
S: 0.5746 0.5000 0.1103
Tc: 0.2686 0.5000 0.0810
Tc: 0.0421 0.5000 0.6331
S: 0.8927 0.0000 0.4472
S: 0.0813 0.5000 0.3136
Tc: 0.2686 0.0000 0.5810
Ni: 0.6640 0.0000 0.4771
S: 0.8927 0.5000 0.9472
S: 0.3920 0.0000 0.2576

## Properties
- SG: No. 8
- Uncorrected formation energy: -7.734 kcal/mol of atoms

=====

Number 1: V 61.9 Å³/cell, uncorrected energy -6.25 eV/atom. Number 2: V 243.9 Å³/cell, uncorrected energy -6.44 eV/atom.